Density functional theory data (PBE) for crystalline CePrDy4Er2 at its relaxed geometry.

Density of states at the Fermi level ... 13.88 states/eV/cell
Volume ... 254.0 Å³/cell
Energy relative to the elements ... 50 meV per atom

The structure in CIF format:
```
data_CePrDy4Er2
_space_group_name_H-M_alt 'P m m m'
_space_group_IT_number 47
_cell_length_a 5.0281
_cell_length_b 5.0429
_cell_length_c 10.0178
_cell_angle_alpha 90.00
_cell_angle_beta 90.00
_cell_angle_gamma 90.00
loop_
_space_group_symop_operation_xyz
'x,y,z'
'-x,-y,-z'
'-x,-y,z'
'x,y,-z'
'x,-y,-z'
'-x,y,z'
'-x,y,-z'
'x,-y,z'
loop_
_atom_site_label
_atom_site_fract_x
_atom_site_fract_y
_atom_site_fract_z
Ce1 0.0000 0.0000 0.0000
Pr1 0.5000 0.5000 0.5000
Dy1 0.0000 0.5000 0.2457
Dy2 0.5000 0.0000 0.2463
Er1 0.0000 0.0000 0.5000
Er2 0.5000 0.5000 0.0000
```

***

Density functional theory data (PBE) for crystalline Dy4ZnIn3 at its relaxed geometry.

Density of states at the Fermi level ... 5.07 states/eV/cell
Energy relative to the lowest polymorph listed for this composition ... 0.0000 eV/atom
Volume ... 204.3 Å³/cell
Energy relative to the elements ... -445 meV per atom

The structure in CIF format:
```
data_Dy4ZnIn3
_space_group_name_H-M_alt 'P 4/m m m'
_space_group_IT_number 123
_space_group_name_Hall '-P 4 2'
_cell_length_a 3.6084
_cell_length_b 3.6084
_cell_length_c 15.6923
_cell_angle_alpha 90.00
_cell_angle_beta 90.00
_cell_angle_gamma 90.00
loop_
_atom_site_label
_atom_site_fract_x
_atom_site_fract_y
_atom_site_fract_z
Dy1 0.0000 0.0000 0.1099
Dy2 0.0000 0.0000 0.3694
Zn1 0.5000 0.5000 0.0000
In1 0.5000 0.5000 0.2384
In2 0.5000 0.5000 0.5000
```

***

Density functional theory data (PBE) for crystalline VNi3B at its relaxed geometry.

Density of states at the Fermi level ... 4.58 states/eV/cell
Volume ... 56.0 Å³/cell
Energy relative to the elements ... 12 meV per atom

The structure in CIF format:
```
data_VNi3B
_space_group_name_H-M_alt 'P m -3 m'
_space_group_IT_number 221
_space_group_name_Hall '-P 4 2 3'
_cell_length_a 3.8269
_cell_length_b 3.8269
_cell_length_c 3.8269
_cell_angle_alpha 90.00
_cell_angle_beta 90.00
_cell_angle_gamma 90.00
loop_
_atom_site_label
_atom_site_fract_x
_atom_site_fract_y
_atom_site_fract_z
V1 0.0000 0.0000 0.0000
Ni1 0.0000 0.5000 0.5000
B1 0.5000 0.5000 0.5000
```

***

Density functional theory data (PBE) for crystalline KSr2MgCo at its relaxed geometry.

Density of states at the Fermi level ... 3.75 states/eV/cell
Volume ... 181.7 Å³/cell
Energy relative to the elements ... 254 meV per atom

The structure in CIF format:
```
data_KSr2MgCo
_space_group_name_H-M_alt 'P 4/m m m'
_space_group_IT_number 123
_space_group_name_Hall '-P 4 2'
_cell_length_a 5.8470
_cell_length_b 5.8470
_cell_length_c 5.3143
_cell_angle_alpha 90.00
_cell_angle_beta 90.00
_cell_angle_gamma 90.00
loop_
_atom_site_label
_atom_site_fract_x
_atom_site_fract_y
_atom_site_fract_z
K1 0.0000 0.0000 0.0000
Sr1 0.0000 0.5000 0.5000
Mg1 0.5000 0.5000 0.0000
Co1 0.5000 0.5000 0.5000
```

***

Density functional theory data (PBE) for crystalline CdPt2W at its relaxed geometry.

Density of states at the Fermi level ... 3.42 states/eV/cell
Volume ... 67.2 Å³/cell
Energy relative to the elements ... -50 meV per atom

The structure in CIF format:
```
data_CdPt2W
_space_group_name_H-M_alt 'P 4/m m m'
_space_group_IT_number 123
_space_group_name_Hall '-P 4 2'
_cell_length_a 4.8950
_cell_length_b 4.8950
_cell_length_c 2.8033
_cell_angle_alpha 90.00
_cell_angle_beta 90.00
_cell_angle_gamma 90.00
loop_
_atom_site_label
_atom_site_fract_x
_atom_site_fract_y
_atom_site_fract_z
Cd1 0.0000 0.0000 0.0000
Pt1 0.0000 0.5000 0.5000
W1 0.5000 0.5000 0.0000
```

***

Density functional theory data (PBE) for crystalline K2Li3PuF12 at its relaxed geometry.

Density of states at the Fermi level ... 53.85 states/eV/cell
E ... -0.371 Ry/atom
Volume ... 722.1 Å³/cell

The structure in CIF format:
```
data_K2Li3PuF12
_space_group_name_H-M_alt 'R -3 m'
_space_group_IT_number 166
_space_group_name_Hall '-R 3 2"'
_cell_length_a 6.9917
_cell_length_b 6.9917
_cell_length_c 17.0568
_cell_angle_alpha 90.00
_cell_angle_beta 90.00
_cell_angle_gamma 120.00
loop_
_atom_site_label
_atom_site_fract_x
_atom_site_fract_y
_atom_site_fract_z
K1 0.0000 0.0000 0.0991
Li1 0.0000 0.5000 0.0000
Pu1 0.0000 0.0000 0.5000
F1 0.0065 0.5033 0.8708
F2 0.0787 0.5393 0.2974
```

***

Density functional theory data (PBE) for crystalline NbNi2SbH at its relaxed geometry.

Density of states at the Fermi level ... 3.79 states/eV/cell
E ... -0.437 Ry/atom
Volume ... 62.8 Å³/cell

The structure in CIF format:
```
data_NbNi2SbH
_space_group_name_H-M_alt 'P 4/m m m'
_space_group_IT_number 123
_space_group_name_Hall '-P 4 2'
_cell_length_a 3.9700
_cell_length_b 3.9700
_cell_length_c 3.9857
_cell_angle_alpha 90.00
_cell_angle_beta 90.00
_cell_angle_gamma 90.00
loop_
_atom_site_label
_atom_site_fract_x
_atom_site_fract_y
_atom_site_fract_z
Nb1 0.0000 0.0000 0.0000
Ni1 0.0000 0.5000 0.5000
Sb1 0.5000 0.5000 0.0000
H1 0.0000 0.0000 0.5000
```

***

Density functional theory data (PBE) for crystalline Ga12Bi5Pb3 at its relaxed geometry.

Density of states at the Fermi level ... 53.31 states/eV/cell
Volume ... 4866.8 Å³/cell
Energy relative to the elements ... 197 meV per atom

The structure in CIF format:
```
data_Ga12Bi5Pb3
_space_group_name_H-M_alt 'I a -3 d'
_space_group_IT_number 230
_space_group_name_Hall '-I 4bd 2c 3'
_cell_length_a 16.9466
_cell_length_b 16.9466
_cell_length_c 16.9466
_cell_angle_alpha 90.00
_cell_angle_beta 90.00
_cell_angle_gamma 90.00
loop_
_atom_site_label
_atom_site_fract_x
_atom_site_fract_y
_atom_site_fract_z
Ga1 0.0107 0.0785 0.6564
Bi1 0.0000 0.0000 0.0000
Bi2 0.0000 0.2500 0.3750
Pb1 0.0000 0.2500 0.1250
```

***

Please write out number 8 again, unchanged.
Density functional theory data (PBE) for crystalline Ga12Bi5Pb3 at its relaxed geometry.

Density of states at the Fermi level ... 53.31 states/eV/cell
Volume ... 4866.8 Å³/cell
Energy relative to the elements ... 197 meV per atom

The structure in CIF format:
```
data_Ga12Bi5Pb3
_space_group_name_H-M_alt 'I a -3 d'
_space_group_IT_number 230
_space_group_name_Hall '-I 4bd 2c 3'
_cell_length_a 16.9466
_cell_length_b 16.9466
_cell_length_c 16.9466
_cell_angle_alpha 90.00
_cell_angle_beta 90.00
_cell_angle_gamma 90.00
loop_
_atom_site_label
_atom_site_fract_x
_atom_site_fract_y
_atom_site_fract_z
Ga1 0.0107 0.0785 0.6564
Bi1 0.0000 0.0000 0.0000
Bi2 0.0000 0.2500 0.3750
Pb1 0.0000 0.2500 0.1250
```